Entry from Alexandria: a relaxed structure of Mn2SiSe (PBE).

Cell and atoms, written as POSCAR:
```
Mn2SiSe
1.0
-4.232 0.629 1.531
-2.613 -1.052 3.566
0.432 3.388 2.455
Si Mn Se
1 2 1
Direct
0.255 0.255 0.172
0.768 0.768 0.684
0.978 0.978 0.074
0.500 0.500 0.569
```

Calculated values
Spin magnetization: 3.99 Bohr magnetons per cell
Formation energy without anion corrections: -0.006 eV/atom
Energy relative to the lowest polymorph listed for this composition: 101 meV per atom
Symmetry: No. 8
Crystal system: monoclinic